1.
Compound: HIrS2
Source: Alexandria
Functional: GGA-PBE
Structure: relaxed

```
data_HIrS2
_symmetry_space_group_name_H-M 'P 1'
_symmetry_Int_Tables_number 1
_cell_length_a 11.277
_cell_length_b 4.708
_cell_length_c 4.708
_cell_angle_alpha 88.50
_cell_angle_beta 127.04
_cell_angle_gamma 52.96
loop_
_symmetry_equiv_pos_as_xyz
'x,y,z'
loop_
_atom_site_label
_atom_site_fract_x
_atom_site_fract_y
_atom_site_fract_z
H1 0.217 0.684 0.734
H2 0.717 0.766 0.816
S1 0.353 0.032 0.772
S2 0.853 0.728 0.468
S3 0.184 0.738 0.973
S4 0.684 0.527 0.762
Ir1 0.263 0.117 0.140
Ir2 0.763 0.360 0.383
```

Summary:
Polymorph energy (0 for the lowest one), meV/atom: 183
Crystal system: monoclinic
Symmetry: Cc, No. 9
Calculated volume, Å³/atom: 15.76
Spin magnetization, μB/f.u.: 0.00



2.
Compound: LiTlRe
Source: Alexandria
Functional: GGA-PBE
Structure: relaxed

```
data_LiTlRe
_symmetry_space_group_name_H-M 'P 1'
_symmetry_Int_Tables_number 1
_cell_length_a 7.505
_cell_length_b 7.322
_cell_length_c 2.826
_cell_angle_alpha 82.68
_cell_angle_beta 75.40
_cell_angle_gamma 21.93
loop_
_symmetry_equiv_pos_as_xyz
'x,y,z'
loop_
_atom_site_label
_atom_site_fract_x
_atom_site_fract_y
_atom_site_fract_z
Li1 0.007 0.007 0.993
Re1 0.659 0.659 0.341
Tl1 0.334 0.334 0.666
```

Summary:
Polymorph energy (0 for the lowest one), meV/atom: 0
Crystal system: orthorhombic
Symmetry: Fmm2, No. 42
Calculated volume, Å³/atom: 17.88
E_form, eV/atom: 0.61
Spin magnetization, μB/f.u.: 0.00



3.
Compound: CuRe2Hg
Source: Alexandria
Functional: GGA-PBE
Structure: relaxed

```
data_CuRe2Hg
_symmetry_space_group_name_H-M 'P 1'
_symmetry_Int_Tables_number 1
_cell_length_a 3.008
_cell_length_b 3.008
_cell_length_c 6.929
_cell_angle_alpha 90.00
_cell_angle_beta 90.00
_cell_angle_gamma 90.00
loop_
_symmetry_equiv_pos_as_xyz
'x,y,z'
loop_
_atom_site_label
_atom_site_fract_x
_atom_site_fract_y
_atom_site_fract_z
Cu1 0.500 0.500 0.250
Hg1 0.500 0.500 0.750
Re1 0.000 0.000 0.055
Re2 0.000 0.000 0.445
```

Summary:
Crystal system: tetragonal
Symmetry: P4/mmm, No. 123
Calculated volume, Å³/atom: 15.68
E_form, eV/atom: 0.78
Spin magnetization, μB/f.u.: 0.00



4.
Compound: Tm6BiRh2
Source: Alexandria
Functional: GGA-PBE
Structure: relaxed

```
data_Tm6BiRh2
_symmetry_space_group_name_H-M 'P 1'
_symmetry_Int_Tables_number 1
_cell_length_a 8.465
_cell_length_b 8.465
_cell_length_c 8.465
_cell_angle_alpha 104.37
_cell_angle_beta 110.59
_cell_angle_gamma 113.59
loop_
_symmetry_equiv_pos_as_xyz
'x,y,z'
loop_
_atom_site_label
_atom_site_fract_x
_atom_site_fract_y
_atom_site_fract_z
Tm1 0.526 0.707 0.820
Tm2 0.474 0.293 0.180
Tm3 0.113 0.293 0.820
Tm4 0.887 0.707 0.180
Tm5 0.790 0.765 0.555
Tm6 0.210 0.235 0.445
Tm7 0.210 0.765 0.975
Tm8 0.790 0.235 0.025
Tm9 0.690 0.359 0.669
Tm10 0.310 0.641 0.331
Tm11 0.310 0.979 0.669
Tm12 0.690 0.021 0.331
Bi1 0.000 0.500 0.500
Bi2 0.000 0.000 0.000
Rh1 0.500 0.365 0.865
Rh2 0.500 0.635 0.135
Rh3 0.662 0.000 0.662
Rh4 0.338 0.000 0.338
```

Summary:
Crystal system: orthorhombic
Symmetry: Immm, No. 71
Calculated volume, Å³/atom: 25.77
E_form, eV/atom: -0.64
Spin magnetization, μB/f.u.: 0.00



5.
Compound: CeEr5Mg4
Source: Alexandria
Functional: GGA-PBE
Structure: relaxed

```
data_CeEr5Mg4
_symmetry_space_group_name_H-M 'P 1'
_symmetry_Int_Tables_number 1
_cell_length_a 3.657
_cell_length_b 3.657
_cell_length_c 20.459
_cell_angle_alpha 90.00
_cell_angle_beta 90.00
_cell_angle_gamma 90.00
loop_
_symmetry_equiv_pos_as_xyz
'x,y,z'
loop_
_atom_site_label
_atom_site_fract_x
_atom_site_fract_y
_atom_site_fract_z
Ce1 0.000 0.000 0.000
Er1 0.500 0.500 0.112
Er2 0.500 0.500 0.310
Er3 0.500 0.500 0.500
Er4 0.500 0.500 0.690
Er5 0.500 0.500 0.888
Mg1 0.000 0.000 0.212
Mg2 0.000 0.000 0.405
Mg3 0.000 0.000 0.595
Mg4 0.000 0.000 0.788
```

Summary:
Crystal system: tetragonal
Symmetry: P4/mmm, No. 123
Calculated volume, Å³/atom: 27.35
E_form, eV/atom: -0.02
Spin magnetization, μB/f.u.: 0.69



6.
Compound: VCrOs3
Source: Alexandria
Functional: GGA-PBE
Structure: relaxed

```
data_VCrOs3
_symmetry_space_group_name_H-M 'P 1'
_symmetry_Int_Tables_number 1
_cell_length_a 4.464
_cell_length_b 4.464
_cell_length_c 4.464
_cell_angle_alpha 90.00
_cell_angle_beta 90.00
_cell_angle_gamma 90.00
loop_
_symmetry_equiv_pos_as_xyz
'x,y,z'
loop_
_atom_site_label
_atom_site_fract_x
_atom_site_fract_y
_atom_site_fract_z
Cr1 0.500 0.500 0.500
Os1 0.000 0.500 0.000
Os2 0.000 0.000 0.500
Os3 0.500 0.000 0.000
V1 0.000 0.000 0.000
```

Summary:
Polymorph energy (0 for the lowest one), meV/atom: 67
Crystal system: cubic
Symmetry: Pm-3m, No. 221
Calculated volume, Å³/atom: 17.79
E_form, eV/atom: 1.63
Spin magnetization, μB/f.u.: 2.65



7.
Compound: FeSnAs2S
Source: Alexandria
Functional: GGA-PBE
Structure: relaxed

```
data_FeSnAs2S
_symmetry_space_group_name_H-M 'P 1'
_symmetry_Int_Tables_number 1
_cell_length_a 5.057
_cell_length_b 4.055
_cell_length_c 5.057
_cell_angle_alpha 90.00
_cell_angle_beta 90.00
_cell_angle_gamma 90.00
loop_
_symmetry_equiv_pos_as_xyz
'x,y,z'
loop_
_atom_site_label
_atom_site_fract_x
_atom_site_fract_y
_atom_site_fract_z
S1 0.000 0.000 0.000
As1 0.000 0.000 0.500
As2 0.500 0.000 0.000
Sn1 0.500 0.500 0.500
Fe1 0.000 0.500 0.000
```

Summary:
Crystal system: tetragonal
Symmetry: P4/mmm, No. 123
Calculated volume, Å³/atom: 20.74
ΔE_f (raw), meV/atom: 593
Spin magnetization, μB/f.u.: 0.00



8.
Compound: Sc6ZnNi5
Source: Alexandria
Functional: GGA-PBE
Structure: relaxed

```
data_Sc6ZnNi5
_symmetry_space_group_name_H-M 'P 1'
_symmetry_Int_Tables_number 1
_cell_length_a 4.522
_cell_length_b 6.415
_cell_length_c 7.147
_cell_angle_alpha 90.00
_cell_angle_beta 108.59
_cell_angle_gamma 90.00
loop_
_symmetry_equiv_pos_as_xyz
'x,y,z'
loop_
_atom_site_label
_atom_site_fract_x
_atom_site_fract_y
_atom_site_fract_z
Sc1 0.831 0.747 0.661
Sc2 0.831 0.253 0.661
Sc3 0.500 0.258 0.000
Sc4 0.500 0.742 0.000
Sc5 0.169 0.747 0.339
Sc6 0.169 0.253 0.339
Ni1 0.664 0.500 0.334
Ni2 0.338 0.000 0.671
Ni3 0.000 0.500 0.000
Ni4 0.662 0.000 0.329
Ni5 0.336 0.500 0.666
Zn1 0.000 0.000 0.000
```

Summary:
Crystal system: monoclinic
Symmetry: P2/m, No. 10
Calculated volume, Å³/atom: 16.38
E_form, eV/atom: -0.47
Spin magnetization, μB/f.u.: 0.00



9.
Compound: TbCeRu
Source: Alexandria
Functional: GGA-PBE
Structure: relaxed

```
data_TbCeRu
_symmetry_space_group_name_H-M 'P 1'
_symmetry_Int_Tables_number 1
_cell_length_a 4.809
_cell_length_b 4.809
_cell_length_c 4.809
_cell_angle_alpha 60.00
_cell_angle_beta 60.00
_cell_angle_gamma 60.00
loop_
_symmetry_equiv_pos_as_xyz
'x,y,z'
loop_
_atom_site_label
_atom_site_fract_x
_atom_site_fract_y
_atom_site_fract_z
Ru1 0.250 0.250 0.250
Tb1 0.000 0.000 0.000
Ce1 0.500 0.500 0.500
```

Summary:
Polymorph energy (0 for the lowest one), meV/atom: 81
Crystal system: cubic
Symmetry: F-43m, No. 216
Calculated volume, Å³/atom: 26.21
E_form, eV/atom: -0.17
Spin magnetization, μB/f.u.: 0.66



10.
Compound: ErMgZn11
Source: Alexandria
Functional: GGA-PBE
Structure: relaxed

```
data_ErMgZn11
_symmetry_space_group_name_H-M 'P 1'
_symmetry_Int_Tables_number 1
_cell_length_a 5.371
_cell_length_b 6.856
_cell_length_c 6.790
_cell_angle_alpha 80.97
_cell_angle_beta 66.70
_cell_angle_gamma 66.63
loop_
_symmetry_equiv_pos_as_xyz
'x,y,z'
loop_
_atom_site_label
_atom_site_fract_x
_atom_site_fract_y
_atom_site_fract_z
Er1 0.000 0.000 0.000
Mg1 0.500 0.500 0.000
Zn1 0.280 0.212 0.218
Zn2 0.720 0.788 0.782
Zn3 0.502 0.788 0.218
Zn4 0.498 0.212 0.782
Zn5 0.345 0.650 0.643
Zn6 0.655 0.350 0.357
Zn7 0.012 0.350 0.643
Zn8 0.988 0.650 0.357
Zn9 0.000 0.500 0.000
Zn10 0.500 0.000 0.500
Zn11 0.000 0.000 0.500
```

Summary:
Crystal system: monoclinic
Symmetry: C2/m, No. 12
Calculated volume, Å³/atom: 16.22
E_form, eV/atom: -0.15
Spin magnetization, μB/f.u.: 0.00



11.
Compound: Mg8ZnCu2
Source: Alexandria
Functional: GGA-PBE
Structure: relaxed

```
data_Mg8ZnCu2
_symmetry_space_group_name_H-M 'P 1'
_symmetry_Int_Tables_number 1
_cell_length_a 4.433
_cell_length_b 7.326
_cell_length_c 7.822
_cell_angle_alpha 117.92
_cell_angle_beta 106.46
_cell_angle_gamma 90.00
loop_
_symmetry_equiv_pos_as_xyz
'x,y,z'
loop_
_atom_site_label
_atom_site_fract_x
_atom_site_fract_y
_atom_site_fract_z
Mg1 0.660 0.878 0.320
Mg2 0.340 0.558 0.680
Mg3 0.152 0.152 0.304
Mg4 0.000 0.305 0.000
Mg5 0.848 0.848 0.696
Mg6 0.660 0.442 0.320
Mg7 0.340 0.122 0.680
Mg8 0.000 0.695 0.000
Zn1 0.500 0.000 0.000
Cu1 0.188 0.688 0.377
Cu2 0.812 0.312 0.623
```

Summary:
Crystal system: orthorhombic
Symmetry: Immm, No. 71
Calculated volume, Å³/atom: 19.33
E_form, eV/atom: -0.03
Spin magnetization, μB/f.u.: 0.00



12.
Compound: KTaAu
Source: Alexandria
Functional: GGA-PBE
Structure: relaxed

```
data_KTaAu
_symmetry_space_group_name_H-M 'P 1'
_symmetry_Int_Tables_number 1
_cell_length_a 6.940
_cell_length_b 6.940
_cell_length_c 6.940
_cell_angle_alpha 156.53
_cell_angle_beta 142.35
_cell_angle_gamma 44.85
loop_
_symmetry_equiv_pos_as_xyz
'x,y,z'
loop_
_atom_site_label
_atom_site_fract_x
_atom_site_fract_y
_atom_site_fract_z
Au1 0.049 0.049 0.000
K1 0.339 0.339 0.000
Ta1 0.612 0.612 0.000
```

Summary:
Polymorph energy (0 for the lowest one), meV/atom: 0
Crystal system: orthorhombic
Symmetry: Imm2, No. 44
Calculated volume, Å³/atom: 27.04
E_form, eV/atom: 0.58
Spin magnetization, μB/f.u.: 0.00



no.,raw total energy (eV per atom)
1,-5.22
2,-4.96
3,-6.54
4,-5.69
5,-3.54
6,-8.86
7,-4.59
8,-6.15
9,-6.79
10,-1.70
11,-2.05
12,-4.83